# CeNd2Ir2

CeNd2Ir2 after structural relaxation (GGA-PBE, Alexandria).

Output
**Formation energy**: -3.16 eV per formula unit
**Energy relative to the lowest polymorph listed for this composition**: 0 meV per atom
**Size of the total moment**: 0.00 μB/f.u.

Geometry as CIF:
```
data_CeNd2Ir2
_cell_length_a 11.5876
_cell_length_b 6.1322
_cell_length_c 7.4627
_cell_angle_alpha 90.00
_cell_angle_beta 100.57
_cell_angle_gamma 90.00
_symmetry_space_group_name_H-M 'C 1 2/c 1'
_symmetry_Int_Tables_number 15
_symmetry_space_group_name_Hall '-C 2yc'
loop_
_atom_site_label
_atom_site_fract_x
_atom_site_fract_y
_atom_site_fract_z
_atom_site_occupancy
Ce1 0.0000 0.0800 0.2500 1
Nd1 0.1587 0.3863 0.6494 1
Ir1 0.1580 0.1133 0.0228 1
```

=====

# CeNdIr2

CeNdIr2 after structural relaxation (GGA-PBE, Alexandria).

Output
**Formation energy**: -2.84 eV per formula unit
**Energy relative to the lowest polymorph listed for this composition**: 0 meV per atom
**Size of the total moment**: 0.00 μB/f.u.

Geometry as CIF:
```
data_CeNdIr2
_cell_length_a 8.4757
_cell_length_b 5.8134
_cell_length_c 7.3865
_cell_angle_alpha 90.00
_cell_angle_beta 90.05
_cell_angle_gamma 90.00
_symmetry_space_group_name_H-M 'P 1 21/c 1'
_symmetry_Int_Tables_number 14
_symmetry_space_group_name_Hall '-P 2ybc'
loop_
_atom_site_label
_atom_site_fract_x
_atom_site_fract_y
_atom_site_fract_z
_atom_site_occupancy
Ce1 0.1257 0.1489 0.3225 1
Nd1 0.3765 0.6401 0.1775 1
Ir1 0.1121 0.6719 0.4445 1
Ir2 0.3600 0.1473 0.0469 1
```

=====

# Ce2NdIr

Ce2NdIr after structural relaxation (GGA-PBE, Alexandria).

Output
**Formation energy**: -1.66 eV per formula unit
**Energy relative to the lowest polymorph listed for this composition**: 0 meV per atom
**Size of the total moment**: 0.78 μB/f.u.

Geometry as CIF:
```
data_Ce2NdIr
_cell_length_a 14.4469
_cell_length_b 9.7906
_cell_length_c 6.1788
_cell_angle_alpha 90.00
_cell_angle_beta 90.00
_cell_angle_gamma 90.00
_symmetry_space_group_name_H-M 'P n m a'
_symmetry_Int_Tables_number 62
_symmetry_space_group_name_Hall '-P 2ac 2n'
loop_
_atom_site_label
_atom_site_fract_x
_atom_site_fract_y
_atom_site_fract_z
_atom_site_occupancy
Ce1 0.0363 0.0561 0.2462 1
Ce2 0.2129 0.5608 0.9356 1
Nd1 0.1047 0.2500 0.7355 1
Nd2 0.1418 0.7500 0.4536 1
Ir1 0.0710 0.7500 0.9739 1
Ir2 0.1760 0.2500 0.2284 1
```

=====

# Ce2Nd5Ir4

Ce2Nd5Ir4 after structural relaxation (GGA-PBE, Alexandria).

Output
**Formation energy**: -5.18 eV per formula unit
**Size of the total moment**: 0.78 μB/f.u.

Geometry as CIF:
```
data_Ce2Nd5Ir4
_cell_length_a 13.0917
_cell_length_b 5.6905
_cell_length_c 8.9821
_cell_angle_alpha 90.00
_cell_angle_beta 101.02
_cell_angle_gamma 90.00
_symmetry_space_group_name_H-M 'C 1 2/m 1'
_symmetry_Int_Tables_number 12
_symmetry_space_group_name_Hall '-C 2y'
loop_
_atom_site_label
_atom_site_fract_x
_atom_site_fract_y
_atom_site_fract_z
_atom_site_occupancy
Ce1 0.0734 0.0000 0.2003 1
Nd1 0.0000 0.5000 0.5000 1
Nd2 0.1389 0.5000 0.9364 1
Nd3 0.2067 0.0000 0.6331 1
Ir1 0.0829 0.5000 0.2374 1
Ir2 0.1349 0.0000 0.9134 1
```

=====

# CeNd3Ir3

CeNd3Ir3 after structural relaxation (GGA-PBE, Alexandria).

Output
**Formation energy**: -3.83 eV per formula unit
**Energy relative to the lowest polymorph listed for this composition**: 81 meV per atom
**Size of the total moment**: 0.00 μB/f.u.

Geometry as CIF:
```
data_CeNd3Ir3
_cell_length_a 9.8530
_cell_length_b 10.1807
_cell_length_c 7.1608
_cell_angle_alpha 90.00
_cell_angle_beta 90.80
_cell_angle_gamma 90.00
_symmetry_space_group_name_H-M 'C 1 2/m 1'
_symmetry_Int_Tables_number 12
_symmetry_space_group_name_Hall '-C 2y'
loop_
_atom_site_label
_atom_site_fract_x
_atom_site_fract_y
_atom_site_fract_z
_atom_site_occupancy
Ce1 0.2291 0.0000 0.3784 1
Nd1 0.0000 0.1784 0.0000 1
Nd2 0.0000 0.2611 0.5000 1
Nd3 0.1810 0.5000 0.0966 1
Ir1 0.0668 0.0000 0.6894 1
Ir2 0.2405 0.2723 0.7853 1
```

=====

# Ce2NdIr

Ce2NdIr after structural relaxation (GGA-PBE, Alexandria).

Output
**Formation energy**: -1.65 eV per formula unit
**Energy relative to the lowest polymorph listed for this composition**: 2 meV per atom
**Size of the total moment**: 0.60 μB/f.u.

Geometry as CIF:
```
data_Ce2NdIr
_cell_length_a 3.8129
_cell_length_b 9.7156
_cell_length_c 6.1498
_cell_angle_alpha 90.00
_cell_angle_beta 108.04
_cell_angle_gamma 90.00
_symmetry_space_group_name_H-M 'P 1 21/m 1'
_symmetry_Int_Tables_number 11
_symmetry_space_group_name_Hall '-P 2yb'
loop_
_atom_site_label
_atom_site_fract_x
_atom_site_fract_y
_atom_site_fract_z
_atom_site_occupancy
Ce1 0.1400 0.0574 0.2808 1
Nd1 0.4215 0.2500 0.8437 1
Ir1 0.2956 0.7500 0.5902 1
```

=====

Repeat the sixth record exactly.
# Ce2NdIr

Ce2NdIr after structural relaxation (GGA-PBE, Alexandria).

Output
**Formation energy**: -1.65 eV per formula unit
**Energy relative to the lowest polymorph listed for this composition**: 2 meV per atom
**Size of the total moment**: 0.60 μB/f.u.

Geometry as CIF:
```
data_Ce2NdIr
_cell_length_a 3.8129
_cell_length_b 9.7156
_cell_length_c 6.1498
_cell_angle_alpha 90.00
_cell_angle_beta 108.04
_cell_angle_gamma 90.00
_symmetry_space_group_name_H-M 'P 1 21/m 1'
_symmetry_Int_Tables_number 11
_symmetry_space_group_name_Hall '-P 2yb'
loop_
_atom_site_label
_atom_site_fract_x
_atom_site_fract_y
_atom_site_fract_z
_atom_site_occupancy
Ce1 0.1400 0.0574 0.2808 1
Nd1 0.4215 0.2500 0.8437 1
Ir1 0.2956 0.7500 0.5902 1
```

=====

Question: Look up the formation energy of the sixth one.
Answer: -1.65 eV per formula unit

=====

What did the second record say?
# CeNdIr2

CeNdIr2 after structural relaxation (GGA-PBE, Alexandria).

Output
**Formation energy**: -2.84 eV per formula unit
**Energy relative to the lowest polymorph listed for this composition**: 0 meV per atom
**Size of the total moment**: 0.00 μB/f.u.

Geometry as CIF:
```
data_CeNdIr2
_cell_length_a 8.4757
_cell_length_b 5.8134
_cell_length_c 7.3865
_cell_angle_alpha 90.00
_cell_angle_beta 90.05
_cell_angle_gamma 90.00
_symmetry_space_group_name_H-M 'P 1 21/c 1'
_symmetry_Int_Tables_number 14
_symmetry_space_group_name_Hall '-P 2ybc'
loop_
_atom_site_label
_atom_site_fract_x
_atom_site_fract_y
_atom_site_fract_z
_atom_site_occupancy
Ce1 0.1257 0.1489 0.3225 1
Nd1 0.3765 0.6401 0.1775 1
Ir1 0.1121 0.6719 0.4445 1
Ir2 0.3600 0.1473 0.0469 1
```